Crystalline UCuSnPd at its relaxed geometry, computed with PBE-GGA.

a b c (Å): 4.7870 4.7870 4.7870
angles (deg): 60.00 60.00 60.00
Site moments in Bohr magnetons follow the coordinates.
Fractional positions:
Cu 0.2500 0.2500 0.2500  -0.01
U 0.0000 0.0000 0.0000  2.15
Sn 0.5000 0.5000 0.5000  0.00
Pd 0.7500 0.7500 0.7500  -0.06

Values from the calculation:
* E: -25.4 eV/f.u.
* energy of formation from the pure elements: -0.19 eV/atom
* size of the total moment: 0.571 μB per atom
* crystal system: cubic

Crystalline VCuSnPd at its relaxed geometry, computed with PBE-GGA.

a b c (Å): 4.4808 4.4808 4.4808
angles (deg): 60.00 60.00 60.00
Site moments in Bohr magnetons follow the coordinates.
Fractional positions:
Cu 0.7500 0.7500 0.7500  0.00
Sn 0.0000 0.0000 0.0000  -0.07
Pd 0.2500 0.2500 0.2500  0.01
V 0.5000 0.5000 0.5000  1.79

Values from the calculation:
* E: -22.6 eV/f.u.
* energy of formation from the pure elements: -0.06 eV/atom
* size of the total moment: 0.475 μB per atom
* crystal system: cubic

Crystalline YCuSn2Pd4 at its relaxed geometry, computed with PBE-GGA.

a b c (Å): 4.6387 4.6387 8.1750
angles (deg): 73.52 73.52 60.00
Fractional positions:
Y 0.0000 0.0000 0.0000
Cu 0.5000 0.5000 0.5000
Sn 0.7523 0.7523 0.7430
Sn 0.2477 0.2477 0.2570
Pd 0.3890 0.3890 0.8330
Pd 0.8712 0.8712 0.3864
Pd 0.1288 0.1288 0.6136
Pd 0.6110 0.6110 0.1670

Values from the calculation:
* E: -44.1 eV/f.u.
* energy of formation from the pure elements: -0.60 eV/atom
* size of the total moment: 0.000 μB per atom
* crystal system: trigonal

Crystalline Sr2CuPd at its relaxed geometry, computed with PBE-GGA.

a b c (Å): 6.6956 6.6956 6.6956
angles (deg): 64.22 148.90 125.35
Fractional positions:
Sr 0.0000 0.2578 0.2578
Sr 0.0000 0.7422 0.7422
Cu 0.0000 0.0000 0.0000
Pd 0.0000 0.5000 0.5000

Values from the calculation:
* E: -9.9 eV/f.u.
* energy of formation from the pure elements: 0.70 eV/atom
* size of the total moment: 0.000 μB per atom
* crystal system: orthorhombic

Crystalline Sr3Cu3Pd2 at its relaxed geometry, computed with PBE-GGA.

a b c (Å): 4.3763 6.0086 16.1252
angles (deg): 90.00 90.00 111.36
Fractional positions:
Sr 0.8621 0.7243 0.4127
Sr 0.1379 0.2757 0.9127
Sr 0.8621 0.7243 0.0873
Sr 0.1379 0.2757 0.5873
Sr 0.5773 0.1547 0.2500
Sr 0.4227 0.8453 0.7500
Cu 0.5754 0.1507 0.4458
Cu 0.4246 0.8493 0.9458
Cu 0.5754 0.1507 0.0542
Cu 0.4246 0.8493 0.5542
Cu 0.2839 0.5679 0.2500
Cu 0.7161 0.4321 0.7500
Pd 0.8452 0.6904 0.8835
Pd 0.1548 0.3096 0.3835
Pd 0.8452 0.6904 0.6165
Pd 0.1548 0.3096 0.1165

Values from the calculation:
* E: -30.3 eV/f.u.
* energy of formation from the pure elements: -0.32 eV/atom
* size of the total moment: 0.000 μB per atom
* crystal system: orthorhombic

Crystalline SrCu3Pd at its relaxed geometry, computed with PBE-GGA.

a b c (Å): 5.3692 5.5270 6.6869
angles (deg): 114.41 90.00 90.00
Fractional positions:
Sr 0.2500 0.3955 0.7909
Sr 0.7500 0.6045 0.2091
Cu 0.2500 0.8096 0.6191
Cu 0.7500 0.1904 0.3809
Cu 0.2500 0.3820 0.3043
Cu 0.7500 0.6180 0.6957
Cu 0.2500 0.9223 0.3043
Cu 0.7500 0.0777 0.6957
Pd 0.0000 0.0000 0.0000
Pd 0.5000 0.0000 0.0000

Values from the calculation:
* E: -19.7 eV/f.u.
* energy of formation from the pure elements: -0.12 eV/atom
* relative energy among the computed polymorphs: 0.0 meV per atom
* size of the total moment: 0.000 μB per atom
* crystal system: orthorhombic

energy of formation from the pure elements of number 6 (SrCu3Pd)? -0.12 eV/atom